[1]
## Pm2SiAs (GGA-PBE)

Data for a relaxed structure of Pm2SiAs.

Calculated values
Relative energy among the computed polymorphs ... 466.5 meV/atom
Calculated volume ... 390.8 Å³/cell
Raw formation energy ... -2.65 eV per formula unit
Total magnetization ... 0.0 μB/f.u.
Energy ... -5.555 eV/atom

Cell lengths 7.311, 7.311, 7.311 Å; angles 90.00, 90.00, 90.00 degrees
Space group Fm-3m (No. 225)
One atom of each set of equivalent atoms:
Pm1 0.250 0.250 0.250 x8
Si1 0.000 0.000 0.000 x4
As1 0.000 0.000 0.500 x4

=====

[2]
## TbSm10Th4 (GGA-PBE)

Data for a relaxed structure of TbSm10Th4.

Calculated values
Energy relative to the elements ... 0.37 eV per atom
Calculated volume ... 1037.6 Å³/cell
Total magnetization ... 0.0 μB/f.u.
Energy ... -5.062 eV/atom

Cell lengths 9.807, 9.807, 10.789 Å; angles 90.00, 90.00, 90.00 degrees
Space group I4/m (No. 87)
One atom of each set of equivalent atoms:
Tb1 0.000 0.000 0.000 x2
Sm1 0.000 0.500 0.250 x4
Sm2 0.117 0.789 0.342 x16
Th1 0.060 0.665 0.000 x8

=====

[3]
## SiRuAu3 (GGA-PBE)

Data for a relaxed structure of SiRuAu3.

Calculated values
Relative energy among the computed polymorphs ... 523.6 meV/atom
Calculated volume ... 125.5 Å³/cell
Raw formation energy ... 6.75 eV per formula unit
Total magnetization ... 2.1 μB/f.u.
Energy ... -3.555 eV/atom

Cell lengths 5.007, 5.007, 5.007 Å; angles 90.00, 90.00, 90.00 degrees
Space group Pm-3m (No. 221)
One atom of each set of equivalent atoms:
Si1 0.000 0.000 0.000 x1
Ru1 0.500 0.500 0.500 x1
Au1 0.000 0.500 0.500 x3

=====

[4]
## Mg3Hg3Bi (GGA-PBE)

Data for a relaxed structure of Mg3Hg3Bi.

Calculated values
Energy relative to the elements ... -0.15 eV per atom
Relative energy among the computed polymorphs ... 0.0 meV/atom
Calculated volume ... 338.2 Å³/cell
Total magnetization ... 0.0 μB/f.u.
Energy ... -1.522 eV/atom

Cell lengths 6.904, 6.905, 7.104 Å; angles 89.95, 89.96, 87.12 degrees
Space group P-1 (No. 2)
One atom of each set of equivalent atoms:
Mg1 0.004 0.004 0.268 x2
Mg2 0.006 0.494 0.258 x2
Mg3 0.495 0.007 0.258 x2
Hg1 0.216 0.216 0.992 x2
Hg2 0.257 0.743 0.500 x2
Hg3 0.294 0.294 0.511 x2
Bi1 0.322 0.678 0.001 x2

=====

The lowest calculated volume belongs to which entry? SiRuAu3

=====

Which value of calculated volume does entry 3 give? 125.5 Å³/cell

=====

The lowest calculated volume belongs to which entry? SiRuAu3

=====

Which of these has the highest energy? Mg3Hg3Bi